1.
4
Lattice="4.760 0.000 0.000 2.380 4.123 0.000 2.380 1.374 5.462" Properties=species:S:1:pos:R:3 comment="AcZn2Pb (PBE-GGA, relaxed)" formation_enthalpy_0k_mev_per_atom=-227 dos_at_fermi_per_ev_cell=2.3 magmom_total_mub_per_fu=0.00 pbc="T T T"
Pb 4.760 2.748 2.731
Ac 0.000 0.000 0.000
Zn 7.141 4.123 3.719
Zn 2.380 1.374 1.743

---

2.
6
Lattice="4.510 0.000 0.000 0.000 4.613 0.000 0.000 0.000 8.128" Properties=species:S:1:pos:R:3 comment="Ac2Zn3Pb (PBE-GGA, relaxed)" formation_enthalpy_0k_mev_per_atom=-343 dos_at_fermi_per_ev_cell=6.0 de_polymorph_mev_per_atom=12 magmom_total_mub_per_fu=0.00 pbc="T T T"
Ac 0.000 2.307 8.108
Ac 0.000 0.000 4.092
Zn 2.255 0.000 6.729
Zn 2.255 0.000 1.187
Zn 2.255 2.307 5.587
Pb 2.255 2.307 2.745

---

3.
10
Lattice="-3.961 -2.164 -0.355 2.088 -3.497 -1.976 1.613 -4.558 9.772" Properties=species:S:1:pos:R:3 comment="Ac2Zn7Pb (PBE-GGA, relaxed)" formation_enthalpy_0k_mev_per_atom=-292 dos_at_fermi_per_ev_cell=5.4 magmom_total_mub_per_fu=0.00 pbc="T T T"
Ac -0.797 -4.425 6.989
Ac 1.474 -2.964 1.616
Zn 2.412 -5.615 7.300
Zn -1.364 -2.824 3.557
Zn -1.735 -1.774 1.306
Zn 2.041 -4.565 5.049
Zn 0.807 -2.279 4.886
Zn 0.000 0.000 0.000
Zn -0.130 -5.110 3.720
Pb -0.937 -2.831 -1.166

---

4.
4
Lattice="-0.690 -3.000 -2.486 2.942 -2.055 1.664 -4.895 -2.988 4.964" Properties=species:S:1:pos:R:3 comment="AcZnPb2 (PBE-GGA, relaxed)" formation_enthalpy_0k_mev_per_atom=-131 dos_at_fermi_per_ev_cell=3.6 magmom_total_mub_per_fu=0.00 pbc="T T T"
Pb -3.896 -2.378 3.951
Pb -0.999 -0.610 1.013
Ac -1.321 -4.022 2.071
Zn 1.126 -2.528 -0.411

---

5.
10
Lattice="-2.672 -3.220 0.431 7.763 -3.154 4.053 -3.293 3.822 8.199" Properties=species:S:1:pos:R:3 comment="Ac3ZnPb (PBE-GGA, relaxed)" formation_enthalpy_0k_mev_per_atom=-281 dos_at_fermi_per_ev_cell=11.8 magmom_total_mub_per_fu=0.67 pbc="T T T"
Ac -0.223 0.812 4.045
Ac 3.505 -1.611 9.075
Ac -2.018 0.043 7.707
Ac 5.005 -6.203 4.540
Ac 3.689 -2.615 2.654
Ac 1.094 -2.776 5.929
Zn 1.187 0.101 7.484
Zn 0.300 -1.670 9.296
Pb 4.622 -2.945 6.017
Pb 0.160 -2.446 2.567

---

6.
19
Lattice="-0.499 8.677 4.130 -6.410 -4.791 5.343 8.193 -3.248 3.863" Properties=species:S:1:pos:R:3 comment="Ac12ZrPb6 (PBE-GGA, relaxed)" formation_enthalpy_0k_mev_per_atom=-107 dos_at_fermi_per_ev_cell=22.7 magmom_total_mub_per_fu=2.15 pbc="T T T"
Ac -0.491 2.811 8.164
Ac -0.661 -1.920 8.407
Ac 3.508 0.279 7.900
Ac 1.774 -2.174 5.171
Ac 1.945 2.557 4.928
Ac -2.224 0.359 5.434
Ac -3.620 -5.205 6.687
Ac 3.362 -6.068 7.366
Ac -6.152 1.274 7.931
Ac 4.903 5.842 6.648
Ac -2.078 6.705 5.969
Ac 7.436 -0.637 5.404
Zr 0.000 0.000 0.000
Pb -2.983 0.595 8.908
Pb -1.296 3.629 4.791
Pb -1.589 -2.985 5.135
Pb 4.267 0.042 4.427
Pb 2.580 -2.992 8.544
Pb 2.872 3.622 8.200

---

7.
6
Lattice="-0.749 0.933 3.713 -3.824 -1.504 3.707 9.575 -5.792 7.482" Properties=species:S:1:pos:R:3 comment="AcZrPb (PBE-GGA, relaxed)" formation_enthalpy_0k_mev_per_atom=-214 dos_at_fermi_per_ev_cell=7.5 de_polymorph_mev_per_atom=84 magmom_total_mub_per_fu=0.00 pbc="T T T"
Zr 2.033 -4.175 8.630
Zr 2.970 -2.187 6.272
Pb 0.204 -1.861 7.683
Pb 4.798 -4.502 7.220
Ac -2.320 -1.825 5.115
Ac 7.322 -4.538 9.788

---

8.
6
Lattice="-4.234 1.693 -0.492 0.476 -0.135 -4.560 -1.484 -9.218 2.426" Properties=species:S:1:pos:R:3 comment="AcZrPb (PBE-GGA, relaxed)" formation_enthalpy_0k_mev_per_atom=-298 dos_at_fermi_per_ev_cell=7.8 de_polymorph_mev_per_atom=0 magmom_total_mub_per_fu=1.03 pbc="T T T"
Ac -3.063 -2.192 -2.562
Ac -2.179 -5.467 -0.065
Zr -2.117 0.847 -0.246
Zr 0.238 -0.068 -2.280
Pb -0.795 -1.996 -0.024
Pb -4.447 -5.664 -2.603

---

9.
32
Lattice="-0.324 -3.406 5.055 9.495 2.131 2.043 -3.762 10.325 6.715" Properties=species:S:1:pos:R:3 comment="Ac3Pd5 (PBE-GGA, relaxed)" formation_enthalpy_0k_mev_per_atom=-798 dos_at_fermi_per_ev_cell=12.6 magmom_total_mub_per_fu=0.00 pbc="T T T"
Ac 1.906 -0.801 4.077
Ac -0.066 3.406 8.852
Ac 3.504 9.851 9.737
Ac 5.476 5.644 4.961
Ac 4.079 2.175 2.584
Ac -2.484 5.396 6.304
Ac 5.926 7.906 12.218
Ac 3.298 2.622 6.521
Ac 1.331 6.875 11.229
Ac 7.893 3.654 7.510
Ac -0.516 1.144 1.595
Ac 2.111 6.427 7.292
Pd 0.394 4.127 5.964
Pd -1.372 10.505 7.517
Pd 5.016 4.922 7.850
Pd 6.781 -1.456 6.297
Pd 1.216 2.252 4.100
Pd -0.607 8.027 6.548
Pd 4.194 6.798 9.713
Pd 6.017 1.023 7.265
Pd 1.028 0.487 6.814
Pd -0.775 6.474 8.947
Pd 4.382 8.562 6.999
Pd 6.185 2.576 4.866
Pd 2.576 4.791 4.239
Pd -2.967 8.230 8.193
Pd 6.408 5.062 10.344
Pd 4.802 0.017 4.851
Pd 2.833 4.259 9.574
Pd 8.377 0.820 5.620
Pd -0.999 3.988 3.469
Pd 0.608 9.032 8.962

---

10.
4
Lattice="5.212 0.000 0.000 0.000 5.212 0.000 0.000 0.000 5.212" Properties=species:S:1:pos:R:3 comment="Ac3Pd (PBE-GGA, relaxed)" formation_enthalpy_0k_mev_per_atom=6 dos_at_fermi_per_ev_cell=5.0 de_polymorph_mev_per_atom=356 magmom_total_mub_per_fu=0.00 pbc="T T T"
Ac 0.000 2.606 2.606
Ac 2.606 0.000 2.606
Ac 2.606 2.606 0.000
Pd 0.000 0.000 0.000

---

11.
7
Lattice="-0.984 2.857 -3.240 -2.249 -1.377 -3.560 -13.151 3.617 4.154" Properties=species:S:1:pos:R:3 comment="Ac4Pd3 (PBE-GGA, relaxed)" formation_enthalpy_0k_mev_per_atom=-655 dos_at_fermi_per_ev_cell=5.7 magmom_total_mub_per_fu=0.00 pbc="T T T"
Ac -12.683 3.710 1.065
Ac -8.605 2.441 1.736
Ac -7.780 2.656 -4.382
Ac -3.701 1.387 -3.711
Pd -12.160 3.790 -2.052
Pd -4.224 1.307 -0.593
Pd 0.000 0.000 0.000

---

12.
12
Lattice="-1.289 2.235 3.460 -6.233 -3.426 2.583 3.535 -8.926 9.775" Properties=species:S:1:pos:R:3 comment="Ac7Pd5 (PBE-GGA, relaxed)" formation_enthalpy_0k_mev_per_atom=-648 dos_at_fermi_per_ev_cell=9.0 magmom_total_mub_per_fu=0.00 pbc="T T T"
Ac -4.159 -7.083 11.102
Ac 0.172 -3.034 4.716
Ac -3.696 -4.275 4.077
Ac -0.291 -5.842 11.741
Ac -1.860 -0.566 2.365
Ac -1.993 -5.059 7.909
Ac -2.127 -9.551 13.453
Pd -4.672 -4.607 9.311
Pd 0.685 -5.510 6.506
Pd -2.929 -1.503 5.263
Pd -1.057 -8.614 10.554
Pd 0.000 0.000 0.000

---

13.
14
Lattice="6.072 0.000 0.000 -2.024 8.321 0.000 -2.024 -4.161 7.207" Properties=species:S:1:pos:R:3 comment="Ac3Pd4 (PBE-GGA, relaxed)" formation_enthalpy_0k_mev_per_atom=-807 dos_at_fermi_per_ev_cell=5.9 de_polymorph_mev_per_atom=9 magmom_total_mub_per_fu=0.00 pbc="T T T"
Ac -2.466 1.569 6.290
Ac -0.442 -2.071 5.421
Ac 1.582 0.502 2.703
Ac 4.490 2.592 0.917
Ac 2.466 6.232 1.786
Ac 0.442 3.659 4.504
Pd 3.036 0.000 0.000
Pd 0.000 0.000 0.000
Pd 3.381 3.457 3.607
Pd 1.357 3.469 1.191
Pd -0.667 5.555 2.409
Pd -1.357 0.704 3.600
Pd 0.667 0.691 6.016
Pd 2.691 -1.395 4.797

---

14.
15
Lattice="7.487 0.000 0.000 3.744 6.484 0.000 3.744 2.161 6.860" Properties=species:S:1:pos:R:3 comment="Ac2Pd13 (PBE-GGA, relaxed)" formation_enthalpy_0k_mev_per_atom=-13 dos_at_fermi_per_ev_cell=14.4 magmom_total_mub_per_fu=0.00 pbc="T T T"
Ac 3.744 2.161 1.620
Ac 11.231 6.484 5.240
Pd 7.487 4.323 3.430
Pd 7.487 5.895 1.219
Pd 6.125 3.537 1.219
Pd 8.849 3.537 1.219
Pd 6.125 5.109 5.640
Pd 7.487 2.750 5.640
Pd 8.849 5.109 5.640
Pd 7.487 7.015 4.100
Pd 5.156 2.977 4.100
Pd 9.819 2.977 4.100
Pd 5.156 5.669 2.759
Pd 7.487 1.631 2.759
Pd 9.819 5.669 2.759

---

15.
20
Lattice="4.231 0.000 0.000 0.000 14.097 0.000 0.000 0.000 11.321" Properties=species:S:1:pos:R:3 comment="Ac3Pd2 (PBE-GGA, relaxed)" formation_enthalpy_0k_mev_per_atom=-624 dos_at_fermi_per_ev_cell=14.4 de_polymorph_mev_per_atom=0 magmom_total_mub_per_fu=0.00 pbc="T T T"
Ac 1.058 8.702 6.138
Ac 1.058 12.443 0.477
Ac 3.173 5.395 5.183
Ac 3.173 1.654 10.843
Ac 3.173 1.320 6.923
Ac 3.173 5.729 1.262
Ac 1.058 12.777 4.398
Ac 1.058 8.368 10.058
Ac 1.058 4.721 8.675
Ac 1.058 2.327 3.014
Ac 3.173 9.376 2.646
Ac 3.173 11.770 8.306
Pd 1.058 3.297 5.953
Pd 1.058 3.751 0.293
Pd 3.173 10.800 5.368
Pd 3.173 10.346 11.028
Pd 3.173 6.978 7.939
Pd 3.173 0.071 2.278
Pd 1.058 7.119 3.382
Pd 1.058 14.026 9.043

---

16.
4
Lattice="5.810 0.000 0.000 2.905 5.031 0.000 2.905 1.677 4.744" Properties=species:S:1:pos:R:3 comment="Ac3Pd (PBE-GGA, relaxed)" formation_enthalpy_0k_mev_per_atom=81 dos_at_fermi_per_ev_cell=7.3 de_polymorph_mev_per_atom=431 magmom_total_mub_per_fu=0.00 pbc="T T T"
Ac 0.000 0.000 0.000
Ac 8.715 5.031 3.558
Ac 2.905 1.677 1.186
Pd 5.810 3.354 2.372

---

17.
6
Lattice="-0.845 -6.184 -1.084 1.857 0.370 -3.558 7.290 -2.027 5.877" Properties=species:S:1:pos:R:3 comment="Ac5Pd (PBE-GGA, relaxed)" formation_enthalpy_0k_mev_per_atom=-60 dos_at_fermi_per_ev_cell=9.8 magmom_total_mub_per_fu=0.00 pbc="T T T"
Ac 5.972 -4.132 0.404
Ac 3.052 -0.291 -0.720
Ac 0.506 -2.907 -2.321
Ac 6.094 -1.366 3.039
Ac 2.330 -3.709 0.830
Pd 0.000 0.000 0.000

---

18.
14
Lattice="4.215 0.000 0.000 -2.108 5.573 0.000 0.000 0.001 15.628" Properties=species:S:1:pos:R:3 comment="Ac3Pd4 (PBE-GGA, relaxed)" formation_enthalpy_0k_mev_per_atom=-816 dos_at_fermi_per_ev_cell=8.7 de_polymorph_mev_per_atom=0 magmom_total_mub_per_fu=0.00 pbc="T T T"
Ac 2.108 1.810 1.481
Ac 0.000 3.789 14.158
Ac 2.108 1.811 6.343
Ac 0.000 3.787 9.295
Ac 2.108 4.871 3.912
Ac 0.000 0.727 11.727
Pd 0.000 2.409 3.913
Pd 2.108 3.189 11.726
Pd 0.000 4.246 1.633
Pd 0.000 0.015 0.003
Pd 0.000 4.248 6.191
Pd 2.108 1.354 14.004
Pd 0.000 0.015 7.821
Pd 2.108 1.350 9.448

---

19.
8
Lattice="4.159 0.000 0.000 -2.079 9.143 0.000 0.000 0.000 8.122" Properties=species:S:1:pos:R:3 comment="Ac3Pd (PBE-GGA, relaxed)" formation_enthalpy_0k_mev_per_atom=-350 dos_at_fermi_per_ev_cell=10.3 de_polymorph_mev_per_atom=0 magmom_total_mub_per_fu=0.00 pbc="T T T"
Ac 2.079 0.114 6.092
Ac 0.000 9.029 2.031
Ac 0.000 2.834 0.004
Ac 2.079 6.309 8.119
Ac 2.079 6.309 4.065
Ac 0.000 2.834 4.058
Pd 2.079 3.863 6.092
Pd 0.000 5.281 2.031

---

20.
4
Lattice="-3.180 -2.473 0.259 3.088 -4.380 -3.900 2.322 0.978 6.373" Properties=species:S:1:pos:R:3 comment="Ac3Pd (PBE-GGA, relaxed)" formation_enthalpy_0k_mev_per_atom=-326 dos_at_fermi_per_ev_cell=6.1 de_polymorph_mev_per_atom=25 magmom_total_mub_per_fu=0.00 pbc="T T T"
Ac 2.555 -3.142 1.360
Ac -0.404 -2.919 -1.368
Ac -1.114 -1.613 2.370
Pd 0.119 -0.168 -0.150